The following is a PBE with a Hubbard U calculation of a relaxed VCrPbO5 crystal, from Alexandria.

Cell and atoms, written as CIF:
```
data_VCrPbO5
_space_group_name_H-M_alt 'C 1 2/c 1'
_space_group_IT_number 15
_space_group_name_Hall '-C 2yc'
_cell_length_a 7.1142
_cell_length_b 9.3373
_cell_length_c 7.4440
_cell_angle_alpha 90.00
_cell_angle_beta 115.34
_cell_angle_gamma 90.00
loop_
_atom_site_label
_atom_site_fract_x
_atom_site_fract_y
_atom_site_fract_z
V1 0.0000 0.1867 0.2500
Cr1 0.0000 0.5000 0.0000
Pb1 0.0000 0.1939 0.7500
O1 0.0000 0.4323 0.7500
O2 0.0935 0.2953 0.1088
O3 0.1985 0.0768 0.4039
```

The value obtained for the total magnetic moment is 0.375 μB/atom. The value obtained for the total energy is -7.174 eV per atom.